Computed, not measured: crystalline TaCuRe at its relaxed geometry at the GGA-PBE level of DFT.

Calculated values
Formation energy from the elements ... 0.225 eV/atom
Energy relative to the lowest polymorph listed for this composition ... 144 meV per atom

abc: 6.498 6.498 6.498
angles: 155.99 155.99 34.22
Element x y z (fractional)
Cu 0.996 0.996 0.000
Re 0.343 0.343 0.000
Ta 0.660 0.660 0.000

Computed, not measured: crystalline K4AuI2Cl at its relaxed geometry at the GGA-PBE level of DFT.

Calculated values
Raw formation energy ... -1.279 eV per atom

abc: 4.869 8.395 8.493
angles: 70.58 90.00 90.00
Element x y z (fractional)
K 0.000 0.729 0.765
K 0.000 0.271 0.235
K 0.500 0.734 0.246
K 0.500 0.266 0.754
Au 0.000 0.500 0.500
I 0.000 0.000 0.000
I 0.500 0.000 0.500
Cl 0.500 0.500 0.000

Computed, not measured: crystalline Ca2FeCl at its relaxed geometry at the GGA-PBE level of DFT.

Calculated values
Raw formation energy ... -0.175 eV per atom
Energy relative to the lowest polymorph listed for this composition ... 305 meV per atom

abc: 3.457 3.457 9.874
angles: 90.00 90.00 90.00
Each line ends with the local moment (μB).
Element x y z (fractional)
Ca 0.000 0.000 0.972  -0.11
Ca 0.500 0.500 0.300  0.00
Fe 0.500 0.500 0.782  3.08
Cl 0.000 0.000 0.445  0.00

Computed, not measured: crystalline TeOsCI2 at its relaxed geometry at the GGA-PBE level of DFT.

Calculated values
Raw formation energy ... 1.947 eV per atom
Energy relative to the lowest polymorph listed for this composition ... 0 meV per atom

abc: 5.598 5.598 4.977
angles: 90.00 90.00 90.00
Each line ends with the local moment (μB).
Element x y z (fractional)
I 0.000 0.500 0.000  -0.09
I 0.500 0.000 0.000  -0.09
C 0.500 0.500 0.500  0.91
Te 0.000 0.000 0.500  0.01
Os 0.000 0.000 0.000  -0.29

Repeat the second record exactly.
Computed, not measured: crystalline K4AuI2Cl at its relaxed geometry at the GGA-PBE level of DFT.

Calculated values
Raw formation energy ... -1.279 eV per atom

abc: 4.869 8.395 8.493
angles: 70.58 90.00 90.00
Element x y z (fractional)
K 0.000 0.729 0.765
K 0.000 0.271 0.235
K 0.500 0.734 0.246
K 0.500 0.266 0.754
Au 0.000 0.500 0.500
I 0.000 0.000 0.000
I 0.500 0.000 0.500
Cl 0.500 0.500 0.000

Question: Number 3 is which compound?
Answer: Ca2FeCl